1:
Computed, not measured: a relaxed Sc2HIrRu crystal at the PBE-GGA level of DFT.

The calculation puts the volume at 70 Å³/cell.

The structure belongs to space group P4/mmm (No. 123); the cell edges are 4.526, 4.526 and 3.417 Å and the angles 90.00°, 90.00° and 90.00°. The asymmetric unit holds Sc at (0.000, 0.500, 0.000), H at (0.000, 0.000, 0.000), Ir at (0.500, 0.500, 0.500) and Ru at (0.000, 0.000, 0.500).

***

2:
Computed, not measured: a relaxed Sc2HIrRu crystal at the PBE-GGA level of DFT.

The calculation puts the volume at 71 Å³/cell.

The structure belongs to space group P4/mmm (No. 123); the cell edges are 4.525, 4.525 and 3.445 Å and the angles 90.00°, 90.00° and 90.00°. The asymmetric unit holds Sc at (0.000, 0.500, 0.000), H at (0.000, 0.000, 0.000), Ir at (0.000, 0.000, 0.500) and Ru at (0.500, 0.500, 0.500).

***

Which structure is most stable, and how do the rest compare? From most to least stable: 1, 2.